# 1
The following is a DFT calculation (GGA-PBE) of a relaxed Ac4Hg2Pt crystal.

## Properties
The value obtained for the energy above the most stable polymorph in this dataset is 0 meV per atom. The calculation puts the energy relative to the elements at -4.2 eV per formula unit. The total moment comes out at 0.0 μB/cell. The volume comes out at 253 Å³ per cell.

abc: 4.354 7.685 8.398
angles: 72.77 74.98 73.54
Positions (direct):
1 Hg 0.380 0.560 0.681
2 Hg 0.620 0.440 0.319
3 Pt 0.000 0.000 0.000
4 Ac 0.335 0.246 0.083
5 Ac 0.909 0.799 0.382
6 Ac 0.091 0.201 0.618
7 Ac 0.665 0.754 0.917

# 2
The following is a DFT calculation (GGA-PBE) of a relaxed Ac4HgPt3 crystal.

## Properties
The calculation puts the energy relative to the elements at -7.8 eV per formula unit. The total moment comes out at 0.0 μB/cell. The volume comes out at 254 Å³ per cell.

abc: 4.411 7.795 7.795
angles: 71.70 90.04 90.04
Positions (direct):
1 Pt 0.000 0.000 0.000
2 Pt 0.500 0.000 0.500
3 Pt 0.000 0.500 0.500
4 Ac 0.500 0.241 0.741
5 Ac 0.000 0.228 0.272
6 Ac 0.500 0.759 0.259
7 Ac 0.000 0.772 0.728
8 Hg 0.500 0.500 0.000

# 3
The following is a DFT calculation (GGA-PBE) of a relaxed Ac3Hg2Pt crystal.

## Properties
The value obtained for the energy above the most stable polymorph in this dataset is 15 meV per atom. The calculation puts the energy relative to the elements at -3.8 eV per formula unit. The total moment comes out at 0.0 μB/cell. The volume comes out at 422 Å³ per cell.

abc: 6.440 8.568 8.572
angles: 104.43 112.07 90.00
Positions (direct):
1 Ac 0.862 0.431 0.722
2 Ac 0.140 0.069 0.278
3 Ac 0.500 0.250 0.000
4 Ac 0.860 0.931 0.722
5 Ac 0.138 0.569 0.278
6 Ac 0.500 0.750 0.000
7 Hg 0.315 0.907 0.631
8 Hg 0.683 0.593 0.369
9 Hg 0.685 0.093 0.369
10 Hg 0.317 0.407 0.631
11 Pt 0.000 0.750 0.000
12 Pt 0.000 0.250 0.000

# 4
The following is a DFT calculation (GGA-PBE) of a relaxed Ac2Hg2Pt15 crystal.

## Properties
The calculation puts the energy relative to the elements at -8.6 eV per formula unit. The total moment comes out at 0.0 μB/cell. The volume comes out at 354 Å³ per cell.

abc: 7.110 7.110 7.110
angles: 84.22 84.22 84.22
Positions (direct):
1 Pt 0.686 0.000 0.314
2 Pt 0.344 0.838 0.344
3 Pt 0.500 0.000 0.000
4 Pt 0.314 0.000 0.686
5 Pt 0.162 0.656 0.656
6 Pt 0.000 0.500 0.000
7 Pt 0.656 0.656 0.162
8 Pt 0.000 0.000 0.500
9 Pt 0.344 0.344 0.838
10 Pt 0.000 0.314 0.686
11 Pt 0.686 0.314 0.000
12 Pt 0.656 0.162 0.656
13 Pt 0.314 0.686 0.000
14 Pt 0.838 0.344 0.344
15 Pt 0.000 0.686 0.314
16 Hg 0.898 0.898 0.898
17 Hg 0.102 0.102 0.102
18 Ac 0.348 0.348 0.348
19 Ac 0.652 0.652 0.652